Record 1
## ScRu2Au (PBE-GGA)

Data for crystalline ScRu2Au at its relaxed geometry.

Lattice parameters (Å, degrees): 4.7050 2.9785 4.8103 87.80 90.00 90.00
With the nearest neighbours (Å) after each atom.
Fractional coordinates of all 4 atoms:
Ru (0.0000, 0.9106, 0.0116)  2 Ru 2.45-2.73, 2 Au 2.72
Ru (0.0000, 0.5894, 0.4884)  2 Ru 2.45-2.73, 2 Au 2.72
Sc (0.5000, 0.2500, 0.2500)  4 Au 2.78-2.88, 4 Ru 2.82, 2 Sc 2.98
Au (0.5000, 0.7500, 0.7500)  4 Ru 2.72, 4 Sc 2.78-2.88, 2 Au 2.98

Summary:
**ΔE to the lowest computed polymorph**: 21.1 kJ per mole of atoms
**SG**: P2/m
**ΔH_f (0 K)**: 0.0209 eV per atom

Record 2
## Sc2RuAu (PBE-GGA)

Data for crystalline Sc2RuAu at its relaxed geometry.

Lattice parameters (Å, degrees): 5.2429 5.2429 4.6344 75.82 75.82 36.99
With the nearest neighbours (Å) after each atom.
Fractional coordinates of all 4 atoms:
Sc (0.7566, 0.7566, 0.6950)  4 Ru 2.78-2.93, 3 Au 2.79-2.87
Sc (0.9870, 0.9870, 0.0736)  3 Ru 2.77-2.84, 4 Au 2.82-2.89
Au (0.4999, 0.4999, 0.5570)  7 Sc 2.79-2.89
Ru (0.2565, 0.2565, 0.1744)  7 Sc 2.77-2.93

Summary:
**SG**: Cm
**ΔH_f (0 K)**: -0.5284 eV per atom